An optimized crystal structure of CuSiMoIr. Source: the Open Quantum Materials Database, functional GGA-PBE.

Geometry as extended XYZ:
```
4
Lattice="0.000 3.033 3.033 3.033 0.000 3.033 3.033 3.033 0.000" Properties=species:S:1:pos:R:3 pbc="T T T"
Si 0.000 0.000 0.000
Mo 1.516 1.516 1.516
Cu 4.549 4.549 4.549
Ir 3.033 3.033 3.033
```

Results
energy relative to the lowest polymorph listed for this composition	0	meV/atom
volume	55.8	Å³ per cell
spin magnetization	0.016	Bohr magnetons per cell